[1]
{"formula": "Al2TlNiBi", "functional": "GGA-PBE", "state": "optimized geometry", "polymorph_energy_mev_per_atom": 470, "spacegroup": "P4/mmm", "n_ef_per_ev_atom": 1.059, "energy_ev_per_atom": -2.543, "magmom_total_mub_per_cell": 0.030, "lattice_angstrom": [[5.4027, 0.0000, 0.0000], [0.0000, 5.4027, 0.0000], [0.0000, 0.0000, 6.1732]], "species": ["Al", "Al", "Tl", "Ni", "Bi"], "fractional_positions": [[0.0000, 0.5000, 0.0000], [0.5000, 0.0000, 0.0000], [0.0000, 0.0000, 0.5000], [0.5000, 0.5000, 0.5000], [0.0000, 0.0000, 0.0000]]}

***

[2]
{"formula": "Al2VNiBi", "functional": "GGA-PBE", "state": "optimized geometry", "spacegroup": "P4/mmm", "n_ef_per_ev_atom": 1.530, "energy_ev_per_atom": -3.597, "magmom_total_mub_per_cell": 0.024, "lattice_angstrom": [[5.3608, 0.0000, 0.0000], [0.0000, 5.3608, 0.0000], [0.0000, 0.0000, 4.6840]], "species": ["Al", "Al", "V", "Ni", "Bi"], "fractional_positions": [[0.0000, 0.5000, 0.0000], [0.5000, 0.0000, 0.0000], [0.0000, 0.0000, 0.5000], [0.5000, 0.5000, 0.5000], [0.5000, 0.5000, 0.0000]]}

***

[3]
{"formula": "NpAlBi2", "functional": "GGA-PBE", "state": "optimized geometry", "polymorph_energy_mev_per_atom": 0, "spacegroup": "P4/mmm", "n_ef_per_ev_atom": 3.072, "energy_ev_per_atom": -6.053, "magmom_total_mub_per_cell": 4.090, "lattice_angstrom": [[4.8338, 0.0000, 0.0000], [0.0000, 4.8338, 0.0000], [0.0000, 0.0000, 4.4744]], "species": ["Np", "Al", "Bi", "Bi"], "fractional_positions": [[0.0000, 0.0000, 0.0000], [0.5000, 0.5000, 0.0000], [0.0000, 0.5000, 0.5000], [0.5000, 0.0000, 0.5000]]}

***

[4]
{"formula": "NpAlBi", "functional": "GGA-PBE", "state": "optimized geometry", "spacegroup": "Cmcm", "n_ef_per_ev_atom": 2.703, "energy_ev_per_atom": -6.818, "magmom_total_mub_per_cell": 8.370, "lattice_angstrom": [[1.6311, -9.9973, 0.0000], [1.6311, 9.9973, 0.0000], [0.0000, 0.0000, 4.7617]], "species": ["Np", "Np", "Al", "Al", "Bi", "Bi"], "fractional_positions": [[0.0978, 0.9022, 0.7500], [0.9022, 0.0978, 0.2500], [0.4669, 0.5331, 0.7500], [0.5331, 0.4669, 0.2500], [0.3188, 0.6812, 0.7500], [0.6812, 0.3188, 0.2500]]}

***

[5]
{"formula": "NpAlBi2", "functional": "GGA-PBE", "state": "optimized geometry", "polymorph_energy_mev_per_atom": 243, "spacegroup": "R-3m", "n_ef_per_ev_atom": 1.589, "energy_ev_per_atom": -5.810, "magmom_total_mub_per_cell": 4.350, "lattice_angstrom": [[1.6517, 0.9536, 11.7339], [-1.6517, 0.9536, 11.7339], [0.0000, -1.9073, 11.7339]], "species": ["Np", "Al", "Bi", "Bi"], "fractional_positions": [[0.0000, 0.0000, 0.0000], [0.5000, 0.5000, 0.5000], [0.4140, 0.4140, 0.4140], [0.5860, 0.5860, 0.5860]]}

***

[6]
{"formula": "NpAl2BiO8", "functional": "GGA-PBE", "state": "optimized geometry", "spacegroup": "C2/m", "n_ef_per_ev_atom": 0.151, "e_form_raw_kj_per_mol_atoms": -226, "energy_ev_per_atom": -7.671, "magmom_total_mub_per_cell": 0.053, "lattice_angstrom": [[3.6213, -3.1271, 0.0000], [3.6213, 3.1271, 0.0000], [-1.1026, 0.0000, 6.9741]], "species": ["Np", "Al", "Al", "Bi", "O", "O", "O", "O", "O", "O", "O", "O"], "fractional_positions": [[0.0000, 0.0000, 0.0000], [0.4586, 0.4586, 0.3043], [0.5414, 0.5414, 0.6957], [0.0000, 0.0000, 0.5000], [0.2145, 0.7695, 0.2258], [0.2305, 0.7855, 0.7742], [0.2629, 0.2629, 0.0680], [0.3291, 0.3291, 0.5038], [0.6709, 0.6709, 0.4962], [0.7371, 0.7371, 0.9320], [0.7695, 0.2145, 0.2258], [0.7855, 0.2305, 0.7742]]}